A geometry-optimized AlCoAg2F6 structure. Source: Alexandria, functional PBE with a Hubbard U.

Summary:
The calculation puts the total moment at 2.27 μB per formula unit. Its final energy is -92.4 eV/cell. As for the space-group type: P2_1/c (14).

Cell lengths 5.060, 5.220, 10.802 Å; angles 90.00, 71.87, 90.00 degrees
Each line ends with the local moment (μB).
Atoms (fractional coordinates):
F  0.009  0.534  0.831  -0.02
F  0.712  0.291  0.453  0.02
F  0.991  0.466  0.169  -0.02
F  0.212  0.209  0.953  0.02
F  0.288  0.709  0.547  0.02
F  0.325  0.685  0.960  0.02
F  0.788  0.791  0.047  0.02
F  0.509  0.966  0.331  -0.02
F  0.175  0.185  0.540  0.02
F  0.491  0.034  0.669  -0.02
F  0.675  0.315  0.040  0.02
F  0.825  0.815  0.460  0.02
Ag  0.590  0.471  0.743  -0.04
Ag  0.090  0.029  0.243  -0.04
Ag  0.910  0.971  0.757  -0.04
Ag  0.410  0.529  0.257  -0.04
Al  0.000  0.500  0.000  0.00
Al  0.500  0.000  0.500  0.00
Co  0.500  0.000  0.000  2.48
Co  0.000  0.500  0.500  2.48